Computed, not measured: SrCa2La after structural relaxation at the PBE level of DFT.

abc: 6.8584 6.8584 6.8784
angles: 80.97 80.97 32.96
Last column: magnetic moment on the atom in μB.
Fractional coordinates of all 4 atoms:
La (0.4972, 0.4972, 0.5070)  0.16
Ca (0.7521, 0.7521, 0.7442)  0.03
Ca (0.0026, 0.0026, 0.9968)  0.02
Sr (0.2481, 0.2481, 0.2521)  0.03

Output
Energy above the lowest structure with this stoichiometry   42 meV per atom
Crystal system   monoclinic